Entry 1:
Here is a relaxed LiEu2Rh crystal from the Alexandria database. Energies are from PBE-GGA.

symmetry	R-3m, No. 166

Cell: 3.957 3.957 10.440 Å, 79.08 79.08 60.00°
Atoms (fractional coordinates):
1 Eu 0.112 0.112 0.664
2 Eu 0.888 0.888 0.336
3 Rh 0.500 0.500 0.500
4 Li 0.000 0.000 0.000

***

Entry 2:
Here is a relaxed LiEuRh2 crystal from the Alexandria database. Energies are from PBE-GGA.

symmetry	P4/mmm, No. 123

Cell: 4.056 4.120 4.120 Å, 90.00 90.00 90.00°
Atoms (fractional coordinates):
1 Eu 0.500 0.000 0.000
2 Rh 0.000 0.000 0.500
3 Rh 0.000 0.500 0.000
4 Li 0.500 0.500 0.500

***

Entry 3:
Here is a relaxed LiEuScRh crystal from the Alexandria database. Energies are from PBE-GGA.

symmetry	F-43m, No. 216

Cell: 4.873 4.873 4.873 Å, 60.00 60.00 60.00°
Atoms (fractional coordinates):
1 Eu 0.750 0.750 0.750
2 Sc 0.250 0.250 0.250
3 Rh 0.500 0.500 0.500
4 Li 0.000 0.000 0.000

***

Entry 4:
Here is a relaxed LiSmEuRh crystal from the Alexandria database. Energies are from PBE-GGA.

symmetry	F-43m, No. 216

Cell: 5.067 5.067 5.067 Å, 60.00 60.00 60.00°
Atoms (fractional coordinates):
1 Eu 0.750 0.750 0.750
2 Rh 0.500 0.500 0.500
3 Sm 0.250 0.250 0.250
4 Li 0.000 0.000 0.000

***

Entry 5:
Here is a relaxed LiTbEuRh crystal from the Alexandria database. Energies are from PBE-GGA.

symmetry	F-43m, No. 216

Cell: 5.023 5.023 5.023 Å, 60.00 60.00 60.00°
Atoms (fractional coordinates):
1 Eu 0.500 0.500 0.500
2 Rh 0.750 0.750 0.750
3 Tb 0.000 0.000 0.000
4 Li 0.250 0.250 0.250

***

Entry 6:
Here is a relaxed LiEuTlRh crystal from the Alexandria database. Energies are from PBE-GGA.

symmetry	F-43m, No. 216

Cell: 4.895 4.895 4.895 Å, 60.00 60.00 60.00°
Atoms (fractional coordinates):
1 Eu 0.750 0.750 0.750
2 Tl 0.250 0.250 0.250
3 Rh 0.500 0.500 0.500
4 Li 0.000 0.000 0.000

***

Entry 7:
Here is a relaxed LiEuTmRh crystal from the Alexandria database. Energies are from PBE-GGA.

symmetry	F-43m, No. 216

Cell: 4.979 4.979 4.979 Å, 60.00 60.00 60.00°
Atoms (fractional coordinates):
1 Eu 0.500 0.500 0.500
2 Tm 0.000 0.000 0.000
3 Rh 0.750 0.750 0.750
4 Li 0.250 0.250 0.250

***

Entry 8:
Here is a relaxed LiEuYRh crystal from the Alexandria database. Energies are from PBE-GGA.

symmetry	F-43m, No. 216

Cell: 5.025 5.025 5.025 Å, 60.00 60.00 60.00°
Atoms (fractional coordinates):
1 Eu 0.250 0.250 0.250
2 Y 0.750 0.750 0.750
3 Rh 0.500 0.500 0.500
4 Li 0.000 0.000 0.000

***

no.,energy (eV per cell),energy of formation from the pure elements (eV per formula unit)
1,-29.96,-0.1
2,-27.49,-0.6
3,-27.09,-1.2
4,-25.51,-1.2
5,-25.50,-1.3
6,-22.99,-1.1
7,-25.41,-1.4
8,-27.33,-1.3